Density functional theory data (PBE-GGA) for a relaxed structure of Pr2MgSn4.

Computed properties:
Space-group type: P-4m2
V in Å³/atom: 29.08
Formation energy from the elements in meV per atom: -394

```
data_Pr2MgSn4
_cell_length_a 4.5562
_cell_length_b 4.5562
_cell_length_c 9.8056
_cell_angle_alpha 90.00
_cell_angle_beta 90.00
_cell_angle_gamma 90.00
_symmetry_space_group_name_H-M 'P 1'
_symmetry_Int_Tables_number 1
_symmetry_space_group_name_Hall 'P 1'
loop_
_atom_site_label
_atom_site_type_symbol
_atom_site_fract_x
_atom_site_fract_y
_atom_site_fract_z
_atom_site_occupancy
Pr1 Pr 0.0000 0.5000 0.2411 1
Pr2 Pr 0.5000 0.0000 0.7589 1
Mg1 Mg 0.5000 0.5000 0.0000 1
Sn1 Sn 0.0000 0.0000 0.5000 1
Sn2 Sn 0.0000 0.5000 0.8116 1
Sn3 Sn 0.5000 0.0000 0.1884 1
Sn4 Sn 0.5000 0.5000 0.5000 1
```